Record 1
! BaAl12Pd4 | Alexandria | PBE | relaxed; values from VASP
! Formation energy from the elements ... -0.287 eV per atom
! Raw total energy ... -4.26 eV/atom
&SYSTEM
  ibrav = 0, nat = 17, ntyp = 3
/
ATOMIC_SPECIES
Ba 137.33 Ba.upf
Al 26.98 Al.upf
Pd 106.42 Pd.upf
CELL_PARAMETERS angstrom
-5.486 -2.462 5.108
-1.792 -2.588 -7.234
7.045 -2.836 2.138
ATOMIC_POSITIONS angstrom
Ba 0.000 0.000 0.000
Al -4.214 -2.506 0.858
Al -0.697 -3.606 -2.487
Al -1.483 -5.213 4.019
Al 2.731 -2.707 3.160
Al 1.251 -2.674 -4.008
Al 0.465 -4.280 2.498
Al -1.969 -3.563 1.762
Al 1.736 -4.323 -1.751
Al -2.963 -5.179 -3.149
Al -2.578 -4.195 -0.729
Al 2.346 -3.692 0.740
Al 3.982 -5.381 -0.847
Pd -0.896 -1.294 -3.617
Pd -2.743 -1.231 2.554
Pd -0.116 -3.943 0.006
Pd 3.523 -1.418 1.069



Record 2
! NbSb3Br | Alexandria | PBE | relaxed; values from VASP
! Raw total energy ... -4.70 eV/atom
! ΔE to the lowest computed polymorph ... 0 meV per atom
! ΔE_f (raw) ... 125 meV per atom
&SYSTEM
  ibrav = 0, nat = 5, ntyp = 3
/
ATOMIC_SPECIES
Sb 121.76 Sb.upf
Nb 92.91 Nb.upf
Br 79.90 Br.upf
CELL_PARAMETERS angstrom
-2.637 0.824 -4.577
-4.214 -2.650 1.950
-1.968 4.569 1.956
ATOMIC_POSITIONS angstrom
Sb -2.107 -1.325 0.975
Sb -0.984 2.285 0.978
Sb -1.318 0.412 -2.288
Nb 0.000 0.000 0.000
Br -4.409 1.372 -0.335



Record 3
! Y2Ag3Hg4 | Alexandria | PBE | relaxed; values from VASP
! Formation energy from the elements ... -0.201 eV per atom
! Raw total energy ... -2.72 eV/atom
! ΔE to the lowest computed polymorph ... 76 meV per atom
&SYSTEM
  ibrav = 0, nat = 18, ntyp = 3
/
ATOMIC_SPECIES
Y 88.91 Y.upf
Ag 107.87 Ag.upf
Hg 200.59 Hg.upf
CELL_PARAMETERS angstrom
-3.880 2.363 -4.030
3.967 -4.417 -6.409
-2.926 -7.216 3.162
ATOMIC_POSITIONS angstrom
Y 1.109 -3.951 -3.383
Y -3.947 -5.320 -3.894
Y -3.433 -4.914 0.424
Y 0.594 -4.357 -7.701
Ag 0.000 0.000 0.000
Ag 0.044 -1.027 -5.220
Ag -0.696 -6.073 -5.177
Ag -4.083 -2.017 -4.115
Ag -2.143 -3.198 -2.100
Ag 1.244 -7.254 -3.162
Hg -2.477 -8.282 -4.758
Hg -2.302 0.192 -4.534
Hg -0.362 -0.989 -2.519
Hg -0.537 -9.463 -2.743
Hg 2.079 -6.460 -5.788
Hg -4.918 -2.811 -1.489
Hg -1.248 -5.918 -2.267
Hg -1.591 -3.354 -5.010



Record 4
! LaTlW2 | Alexandria | PBE | relaxed; values from VASP
! Formation energy from the elements ... 1.030 eV per atom
! Raw total energy ... -7.27 eV/atom
! ΔE to the lowest computed polymorph ... 694 meV per atom
&SYSTEM
  ibrav = 0, nat = 4, ntyp = 3
/
ATOMIC_SPECIES
La 138.91 La.upf
Tl 204.38 Tl.upf
W 183.84 W.upf
CELL_PARAMETERS angstrom
-1.249 1.968 1.840
-0.134 -2.806 0.964
9.044 1.228 4.826
ATOMIC_POSITIONS angstrom
La 1.569 -0.112 2.609
Tl 6.091 0.502 5.022
W 8.906 1.210 4.753
W 4.659 0.633 2.486



N(E_F) (states/eV/f.u.)
7.6, 3.6, 3.7, 4.1